[1]
The following is a DFT calculation (PBE-GGA) of a geometry-optimized AcPOsO structure.

Unit cell a=4.116 b=4.116 c=8.818 alpha=90.00 beta=90.00 gamma=90.00
Space group P4/nmm (No. 129, origin choice 2)
Symmetry-distinct sites (fractional):
1 Ac 0.250 0.250 0.150 [2 per cell]
2 P 0.250 0.250 0.632 [2 per cell]
3 Os 0.250 0.750 0.500 [2 per cell]
4 O 0.250 0.750 0.000 [2 per cell]

Results
The value obtained for the energy above the most stable polymorph in this dataset is 0.0000 eV/atom.



[2]
The following is a DFT calculation (PBE-GGA) of a geometry-optimized Ta4CdGaC2 structure.

Unit cell a=3.1430 b=3.1430 c=14.0991 alpha=90.00 beta=90.00 gamma=120.00
Space group P-6m2 (No. 187)
Symmetry-distinct sites (fractional):
1 Ta 0.0000 0.0000 0.1541 [2 per cell]
2 Ta 0.3333 0.6667 0.3255 [2 per cell]
3 Cd 0.0000 0.0000 0.5000 [1 per cell]
4 Ga 0.3333 0.6667 0.0000 [1 per cell]
5 C 0.6667 0.3333 0.2415 [2 per cell]

Results
The calculated total energy is -9.150 eV/atom.



[3]
The following is a DFT calculation (PBE-GGA) of a geometry-optimized HfMg2 structure.

Unit cell a=3.137 b=16.722 c=5.050 alpha=90.00 beta=90.00 gamma=90.00
Space group Cmcm (No. 63)
Symmetry-distinct sites (fractional):
1 Hf 0.000 0.050 0.250 [4 per cell]
2 Mg 0.000 0.283 0.750 [4 per cell]
3 Mg 0.000 0.388 0.250 [4 per cell]

Results
The calculated total energy is -4.241 eV/atom.



[4]
The following is a DFT calculation (PBE-GGA) of a geometry-optimized ThSb structure.

Unit cell a=6.373 b=6.373 c=6.373 alpha=90.00 beta=90.00 gamma=90.00
Space group Fm-3m (No. 225)
Symmetry-distinct sites (fractional):
1 Th 0.000 0.000 0.000 [4 per cell]
2 Sb 0.000 0.000 0.500 [4 per cell]

Results
The calculated total energy is -6.676 eV/atom.



[5]
The following is a DFT calculation (PBE-GGA) of a geometry-optimized TbErZr2Sb2 structure.

Unit cell a=4.276 b=4.276 c=16.594 alpha=90.00 beta=90.00 gamma=90.00
Space group I4mm (No. 107)
Symmetry-distinct sites (fractional):
1 Tb 0.000 0.000 0.000 [2 per cell]
2 Er 0.000 0.000 0.354 [2 per cell]
3 Zr 0.000 0.500 0.178 [4 per cell]
4 Sb 0.000 0.000 0.544 [2 per cell]
5 Sb 0.000 0.000 0.811 [2 per cell]

Results
The calculated total energy is -6.552 eV/atom.



[6]
The following is a DFT calculation (PBE-GGA) of a geometry-optimized AlFe6Ge structure.

Unit cell a=7.907 b=7.907 c=7.907 alpha=90.00 beta=90.00 gamma=90.00
Space group F-43m (No. 216)
Symmetry-distinct sites (fractional):
1 Al 0.000 0.000 0.000 [4 per cell]
2 Fe 0.038 0.250 0.750 [24 per cell]
3 Ge 0.250 0.250 0.250 [4 per cell]

Results
The value obtained for the energy above the most stable polymorph in this dataset is 0.6568 eV/atom.



[7]
The following is a DFT calculation (PBE-GGA) of a geometry-optimized ZrAlOs structure.

Unit cell a=6.213 b=6.213 c=6.213 alpha=90.00 beta=90.00 gamma=90.00
Space group F-43m (No. 216)
Symmetry-distinct sites (fractional):
1 Zr 0.000 0.000 0.000 [4 per cell]
2 Al 0.000 0.000 0.500 [4 per cell]
3 Os 0.250 0.250 0.750 [4 per cell]

Results
The calculated total energy is -8.030 eV/atom.



[8]
The following is a DFT calculation (PBE-GGA) of a geometry-optimized HfRePO structure.

Unit cell a=4.149 b=4.149 c=6.372 alpha=90.00 beta=90.00 gamma=90.00
Space group P4/nmm (No. 129, origin choice 2)
Symmetry-distinct sites (fractional):
1 Hf 0.250 0.750 0.000 [2 per cell]
2 Re 0.250 0.250 0.359 [2 per cell]
3 P 0.250 0.250 0.740 [2 per cell]
4 O 0.250 0.750 0.500 [2 per cell]

Results
The value obtained for the energy above the most stable polymorph in this dataset is 1.2758 eV/atom.



[9]
The following is a DFT calculation (PBE-GGA) of a geometry-optimized ZrBeAsO structure.

Unit cell a=3.655 b=3.655 c=8.233 alpha=90.00 beta=90.00 gamma=90.00
Space group P4/nmm (No. 129, origin choice 2)
Symmetry-distinct sites (fractional):
1 Zr 0.250 0.250 0.146 [2 per cell]
2 Be 0.250 0.750 0.500 [2 per cell]
3 As 0.250 0.250 0.676 [2 per cell]
4 O 0.250 0.750 0.000 [2 per cell]

Results
The value obtained for the energy above the most stable polymorph in this dataset is 0.1089 eV/atom.



[10]
The following is a DFT calculation (PBE-GGA) of a geometry-optimized ScZnCuBi structure.

Unit cell a=6.842 b=6.842 c=6.842 alpha=90.00 beta=90.00 gamma=90.00
Space group F-43m (No. 216)
Symmetry-distinct sites (fractional):
1 Sc 0.000 0.000 0.000 [4 per cell]
2 Zn 0.250 0.250 0.250 [4 per cell]
3 Cu 0.250 0.250 0.750 [4 per cell]
4 Bi 0.000 0.000 0.500 [4 per cell]

Results
The value obtained for the energy above the most stable polymorph in this dataset is 0.0000 eV/atom.



[11]
The following is a DFT calculation (PBE-GGA) of a geometry-optimized LuFeReSi structure.

Unit cell a=6.201 b=6.201 c=6.201 alpha=90.00 beta=90.00 gamma=90.00
Space group F-43m (No. 216)
Symmetry-distinct sites (fractional):
1 Lu 0.000 0.000 0.000 [4 per cell]
2 Fe 0.250 0.250 0.750 [4 per cell]
3 Re 0.250 0.250 0.250 [4 per cell]
4 Si 0.000 0.000 0.500 [4 per cell]

Results
The value obtained for the energy above the most stable polymorph in this dataset is 0.0000 eV/atom.



[12]
The following is a DFT calculation (PBE-GGA) of a geometry-optimized TcAgHg2 structure.

Unit cell a=6.754 b=6.754 c=6.754 alpha=90.00 beta=90.00 gamma=90.00
Space group F-43m (No. 216)
Symmetry-distinct sites (fractional):
1 Tc 0.000 0.000 0.000 [4 per cell]
2 Ag 0.250 0.250 0.750 [4 per cell]
3 Hg 0.000 0.000 0.500 [4 per cell]
4 Hg 0.250 0.250 0.250 [4 per cell]

Results
The formation energy comes out at 0.66 eV/atom.



[13]
The following is a DFT calculation (PBE-GGA) of a geometry-optimized LiTaW2 structure.

Unit cell a=6.326 b=6.326 c=6.326 alpha=90.00 beta=90.00 gamma=90.00
Space group F-43m (No. 216)
Symmetry-distinct sites (fractional):
1 Li 0.000 0.000 0.000 [4 per cell]
2 Ta 0.250 0.250 0.250 [4 per cell]
3 W 0.000 0.000 0.500 [4 per cell]
4 W 0.250 0.250 0.750 [4 per cell]

Results
The calculated total energy is -9.583 eV/atom.



[14]
The following is a DFT calculation (PBE-GGA) of a geometry-optimized Pm2IrO4 structure.

Unit cell a=9.702 b=9.702 c=9.702 alpha=90.00 beta=90.00 gamma=90.00
Space group Fd-3m (No. 227, origin choice 2)
Symmetry-distinct sites (fractional):
1 Pm 0.000 0.000 0.000 [16 per cell]
2 Ir 0.125 0.125 0.625 [8 per cell]
3 O 0.008 0.008 0.242 [32 per cell]

Results
The calculated total energy is -7.342 eV/atom.



[15]
The following is a DFT calculation (PBE-GGA) of a geometry-optimized TaBiPO structure.

Unit cell a=4.302 b=4.302 c=9.466 alpha=90.00 beta=90.00 gamma=90.00
Space group P4/nmm (No. 129, origin choice 2)
Symmetry-distinct sites (fractional):
1 Ta 0.250 0.250 0.024 [2 per cell]
2 Bi 0.250 0.750 0.500 [2 per cell]
3 P 0.250 0.250 0.264 [2 per cell]
4 O 0.250 0.750 0.000 [2 per cell]

Results
The value obtained for the energy above the most stable polymorph in this dataset is 0.3813 eV/atom.



[16]
The following is a DFT calculation (PBE-GGA) of a geometry-optimized Hf2GaCu structure.

Unit cell a=6.644 b=6.644 c=6.644 alpha=90.00 beta=90.00 gamma=90.00
Space group F-43m (No. 216)
Symmetry-distinct sites (fractional):
1 Hf 0.000 0.000 0.000 [4 per cell]
2 Hf 0.250 0.250 0.250 [4 per cell]
3 Ga 0.000 0.000 0.500 [4 per cell]
4 Cu 0.250 0.250 0.750 [4 per cell]

Results
The calculated total energy is -6.396 eV/atom.



[17]
The following is a DFT calculation (PBE-GGA) of a geometry-optimized LaAg3H6C6N6O3 structure.

Unit cell a=6.4148 b=6.4148 c=19.3609 alpha=90.00 beta=90.00 gamma=120.00
Space group P6_3/mcm (No. 193)
Symmetry-distinct sites (fractional):
1 La 0.0000 0.0000 0.2500 [2 per cell]
2 Ag 0.0000 0.5000 0.0000 [6 per cell]
3 H 0.0000 0.4791 0.2093 [12 per cell]
4 C 0.0000 0.3556 0.5943 [12 per cell]
5 N 0.0000 0.2781 0.6491 [12 per cell]
6 O 0.0000 0.3877 0.2500 [6 per cell]

Results
The calculated total energy is -6.463 eV/atom.



[18]
The following is a DFT calculation (PBE-GGA) of a geometry-optimized DyHoBr2NCl structure.

Unit cell a=18.631 b=3.833 c=11.619 alpha=90.00 beta=127.06 gamma=90.00
Space group C2/m (No. 12)
Symmetry-distinct sites (fractional):
1 Dy 0.139 0.000 0.292 [4 per cell]
2 Ho 0.072 0.500 0.962 [4 per cell]
3 Br 0.032 0.000 0.744 [4 per cell]
4 Br 0.215 0.000 0.125 [4 per cell]
5 N 0.076 0.500 0.156 [4 per cell]
6 Cl 0.176 0.500 0.506 [4 per cell]

Results
The value obtained for the energy above the most stable polymorph in this dataset is 0.0079 eV/atom.



[19]
The following is a DFT calculation (PBE-GGA) of a geometry-optimized Cs2Gd2O5 structure.

Unit cell a=4.407 b=4.407 c=9.804 alpha=90.00 beta=90.00 gamma=90.00
Space group P4/mmm (No. 123)
Symmetry-distinct sites (fractional):
1 Cs 0.000 0.000 0.000 [1 per cell]
2 Cs 0.000 0.000 0.500 [1 per cell]
3 Gd 0.500 0.500 0.220 [2 per cell]
4 O 0.000 0.500 0.277 [4 per cell]
5 O 0.500 0.500 0.000 [1 per cell]

Results
The calculated total energy is -6.135 eV/atom.



[20]
The following is a DFT calculation (PBE-GGA) of a geometry-optimized FeCoBiMo structure.

Unit cell a=6.265 b=6.265 c=6.265 alpha=90.00 beta=90.00 gamma=90.00
Space group F-43m (No. 216)
Symmetry-distinct sites (fractional):
1 Fe 0.000 0.000 0.000 [4 per cell]
2 Co 0.000 0.000 0.500 [4 per cell]
3 Bi 0.250 0.250 0.250 [4 per cell]
4 Mo 0.250 0.250 0.750 [4 per cell]

Results
The value obtained for the energy above the most stable polymorph in this dataset is 0.0000 eV/atom.